No. 1
# Sr2ZrIr3O12 | Alexandria | PBE | optimized geometry
data_Sr2ZrIr3O12
_chemical_formula_sum 'Sr2 Zr1 Ir3 O12'
_symmetry_space_group_name_H-M 'P 1'
_symmetry_Int_Tables_number 1
_cell_length_a 7.0539
_cell_length_b 7.0539
_cell_length_c 7.0539
_cell_angle_alpha 61.14
_cell_angle_beta 61.14
_cell_angle_gamma 61.14
loop_
_symmetry_equiv_pos_as_xyz
'x,y,z'
loop_
_atom_site_label
_atom_site_type_symbol
_atom_site_fract_x
_atom_site_fract_y
_atom_site_fract_z
_atom_site_occupancy
Sr1 Sr 0.1227 0.1227 0.1227 1
Sr2 Sr 0.8773 0.8773 0.8773 1
Zr1 Zr 0.5000 0.5000 0.5000 1
Ir1 Ir 0.0000 0.5000 0.5000 1
Ir2 Ir 0.5000 0.0000 0.5000 1
Ir3 Ir 0.5000 0.5000 0.0000 1
O1 O 0.1354 0.6034 0.6034 1
O2 O 0.1824 0.1824 0.6063 1
O3 O 0.1824 0.6063 0.1824 1
O4 O 0.3937 0.8176 0.8176 1
O5 O 0.3966 0.3966 0.8646 1
O6 O 0.3966 0.8646 0.3966 1
O7 O 0.6034 0.1354 0.6034 1
O8 O 0.6034 0.6034 0.1354 1
O9 O 0.6063 0.1824 0.1824 1
O10 O 0.8176 0.3937 0.8176 1
O11 O 0.8176 0.8176 0.3937 1
O12 O 0.8646 0.3966 0.3966 1
# M_tot = 0.0 μB/cell
# Energy = -6.95 eV per atom
# SG = R-3m, No. 166
# Formation energy (no corrections) = -1505.5 meV/atom



No. 2
# TaIrO3 | Alexandria | PBE | optimized geometry
data_TaIrO3
_chemical_formula_sum 'Ta1 Ir1 O3'
_symmetry_space_group_name_H-M 'P 1'
_symmetry_Int_Tables_number 1
_cell_length_a 3.9102
_cell_length_b 3.9102
_cell_length_c 3.9102
_cell_angle_alpha 90.00
_cell_angle_beta 90.00
_cell_angle_gamma 90.00
loop_
_symmetry_equiv_pos_as_xyz
'x,y,z'
loop_
_atom_site_label
_atom_site_type_symbol
_atom_site_fract_x
_atom_site_fract_y
_atom_site_fract_z
_atom_site_occupancy
Ta1 Ta 0.0000 0.0000 0.0000 1
Ir1 Ir 0.5000 0.5000 0.5000 1
O1 O 0.0000 0.5000 0.5000 1
O2 O 0.5000 0.0000 0.5000 1
O3 O 0.5000 0.5000 0.0000 1
# M_tot = 1.8 μB/cell
# Energy = -6.97 eV per atom
# SG = Pm-3m, No. 221
# Formation energy (no corrections) = 152.6 meV/atom



No. 3
# Ta2IrO | Alexandria | PBE | optimized geometry
data_Ta2IrO
_chemical_formula_sum 'Ta4 Ir2 O2'
_symmetry_space_group_name_H-M 'P 1'
_symmetry_Int_Tables_number 1
_cell_length_a 6.7105
_cell_length_b 6.7105
_cell_length_c 6.7105
_cell_angle_alpha 136.55
_cell_angle_beta 136.55
_cell_angle_gamma 63.13
loop_
_symmetry_equiv_pos_as_xyz
'x,y,z'
loop_
_atom_site_label
_atom_site_type_symbol
_atom_site_fract_x
_atom_site_fract_y
_atom_site_fract_z
_atom_site_occupancy
Ta1 Ta 0.0410 0.6250 0.9160 1
Ta2 Ta 0.3750 0.2910 0.4160 1
Ta3 Ta 0.7090 0.1250 0.0840 1
Ta4 Ta 0.8750 0.9590 0.5840 1
Ir1 Ir 0.2500 0.7500 0.5000 1
Ir2 Ir 0.5000 0.5000 0.0000 1
O1 O 0.0000 0.0000 0.0000 1
O2 O 0.7500 0.2500 0.5000 1
# M_tot = 0.0 μB/cell
# Energy = -10.06 eV per atom
# SG = I-42d, No. 122
# Formation energy (no corrections) = -674.0 meV/atom



No. 4
# TaIrO3 | Alexandria | PBE | optimized geometry
data_TaIrO3
_chemical_formula_sum 'Ta1 Ir1 O3'
_symmetry_space_group_name_H-M 'P 1'
_symmetry_Int_Tables_number 1
_cell_length_a 3.9897
_cell_length_b 3.9897
_cell_length_c 3.9897
_cell_angle_alpha 90.00
_cell_angle_beta 90.00
_cell_angle_gamma 90.00
loop_
_symmetry_equiv_pos_as_xyz
'x,y,z'
loop_
_atom_site_label
_atom_site_type_symbol
_atom_site_fract_x
_atom_site_fract_y
_atom_site_fract_z
_atom_site_occupancy
Ta1 Ta 0.0000 0.0000 0.0000 1
Ir1 Ir 0.5000 0.5000 0.5000 1
O1 O 0.0000 0.0000 0.5000 1
O2 O 0.0000 0.5000 0.0000 1
O3 O 0.5000 0.0000 0.0000 1
# M_tot = 2.2 μB/cell
# Energy = -8.07 eV per atom
# SG = Pm-3m, No. 221
# Formation energy (no corrections) = -954.1 meV/atom



No. 5
# Ta3IrO | Alexandria | PBE | optimized geometry
data_Ta3IrO
_chemical_formula_sum 'Ta3 Ir1 O1'
_symmetry_space_group_name_H-M 'P 1'
_symmetry_Int_Tables_number 1
_cell_length_a 4.8485
_cell_length_b 4.8485
_cell_length_c 4.8485
_cell_angle_alpha 90.00
_cell_angle_beta 90.00
_cell_angle_gamma 90.00
loop_
_symmetry_equiv_pos_as_xyz
'x,y,z'
loop_
_atom_site_label
_atom_site_type_symbol
_atom_site_fract_x
_atom_site_fract_y
_atom_site_fract_z
_atom_site_occupancy
Ta1 Ta 0.0000 0.0000 0.5000 1
Ta2 Ta 0.0000 0.5000 0.0000 1
Ta3 Ta 0.5000 0.0000 0.0000 1
Ir1 Ir 0.0000 0.0000 0.0000 1
O1 O 0.5000 0.5000 0.5000 1
# M_tot = 1.1 μB/cell
# Energy = -8.36 eV per atom
# SG = Pm-3m, No. 221
# Formation energy (no corrections) = 1519.5 meV/atom



No. 6
# TaIr3O | Alexandria | PBE | optimized geometry
data_TaIr3O
_chemical_formula_sum 'Ta1 Ir3 O1'
_symmetry_space_group_name_H-M 'P 1'
_symmetry_Int_Tables_number 1
_cell_length_a 4.1679
_cell_length_b 4.1679
_cell_length_c 4.1679
_cell_angle_alpha 90.00
_cell_angle_beta 90.00
_cell_angle_gamma 90.00
loop_
_symmetry_equiv_pos_as_xyz
'x,y,z'
loop_
_atom_site_label
_atom_site_type_symbol
_atom_site_fract_x
_atom_site_fract_y
_atom_site_fract_z
_atom_site_occupancy
Ta1 Ta 0.0000 0.0000 0.0000 1
Ir1 Ir 0.0000 0.5000 0.5000 1
Ir2 Ir 0.5000 0.0000 0.5000 1
Ir3 Ir 0.5000 0.5000 0.0000 1
O1 O 0.5000 0.5000 0.5000 1
# M_tot = 0.0 μB/cell
# Energy = -8.20 eV per atom
# SG = Pm-3m, No. 221
# Distance to the lowest polymorph of the same formula = 0 meV per atom
# Formation energy (no corrections) = 479.9 meV/atom



No. 7
# Ta3IrO | Alexandria | PBE | optimized geometry
data_Ta3IrO
_chemical_formula_sum 'Ta3 Ir1 O1'
_symmetry_space_group_name_H-M 'P 1'
_symmetry_Int_Tables_number 1
_cell_length_a 4.2067
_cell_length_b 4.2067
_cell_length_c 4.2067
_cell_angle_alpha 90.00
_cell_angle_beta 90.00
_cell_angle_gamma 90.00
loop_
_symmetry_equiv_pos_as_xyz
'x,y,z'
loop_
_atom_site_label
_atom_site_type_symbol
_atom_site_fract_x
_atom_site_fract_y
_atom_site_fract_z
_atom_site_occupancy
Ta1 Ta 0.0000 0.0000 0.5000 1
Ta2 Ta 0.0000 0.5000 0.0000 1
Ta3 Ta 0.5000 0.0000 0.0000 1
Ir1 Ir 0.5000 0.5000 0.5000 1
O1 O 0.0000 0.0000 0.0000 1
# M_tot = 0.0 μB/cell
# Energy = -10.61 eV per atom
# SG = Pm-3m, No. 221
# Formation energy (no corrections) = -731.6 meV/atom



No. 8
# TaIr3O | Alexandria | PBE | optimized geometry
data_TaIr3O
_chemical_formula_sum 'Ta1 Ir3 O1'
_symmetry_space_group_name_H-M 'P 1'
_symmetry_Int_Tables_number 1
_cell_length_a 4.8105
_cell_length_b 4.8105
_cell_length_c 4.8105
_cell_angle_alpha 90.00
_cell_angle_beta 90.00
_cell_angle_gamma 90.00
loop_
_symmetry_equiv_pos_as_xyz
'x,y,z'
loop_
_atom_site_label
_atom_site_type_symbol
_atom_site_fract_x
_atom_site_fract_y
_atom_site_fract_z
_atom_site_occupancy
Ta1 Ta 0.0000 0.0000 0.0000 1
Ir1 Ir 0.0000 0.0000 0.5000 1
Ir2 Ir 0.0000 0.5000 0.0000 1
Ir3 Ir 0.5000 0.0000 0.0000 1
O1 O 0.5000 0.5000 0.5000 1
# M_tot = 3.4 μB/cell
# Energy = -6.51 eV per atom
# SG = Pm-3m, No. 221
# Distance to the lowest polymorph of the same formula = 1690 meV per atom
# Formation energy (no corrections) = 2169.9 meV/atom



No. 9
# TaTlIr2O8 | Alexandria | PBE | optimized geometry
data_TaTlIr2O8
_chemical_formula_sum 'Ta1 Tl1 Ir2 O8'
_symmetry_space_group_name_H-M 'P 1'
_symmetry_Int_Tables_number 1
_cell_length_a 5.4117
_cell_length_b 5.4117
_cell_length_c 8.4983
_cell_angle_alpha 90.00
_cell_angle_beta 90.00
_cell_angle_gamma 120.00
loop_
_symmetry_equiv_pos_as_xyz
'x,y,z'
loop_
_atom_site_label
_atom_site_type_symbol
_atom_site_fract_x
_atom_site_fract_y
_atom_site_fract_z
_atom_site_occupancy
Ta1 Ta 0.0000 0.0000 0.0000 1
Tl1 Tl 0.0000 0.0000 0.5000 1
Ir1 Ir 0.3333 0.6667 0.2444 1
Ir2 Ir 0.6667 0.3333 0.7556 1
O1 O 0.0754 0.3284 0.1371 1
O2 O 0.2529 0.9246 0.1371 1
O3 O 0.3284 0.2529 0.8629 1
O4 O 0.3333 0.6667 0.4525 1
O5 O 0.6667 0.3333 0.5475 1
O6 O 0.6716 0.7471 0.1371 1
O7 O 0.7471 0.0754 0.8629 1
O8 O 0.9246 0.6716 0.8629 1
# M_tot = 0.0 μB/cell
# Energy = -6.92 eV per atom
# SG = P-3, No. 147
# Formation energy (no corrections) = -952.9 meV/atom



- Among the records above, which one has the highest M_tot?
  number 8